Here is a relaxed PmLuAsO crystal from the Open Quantum Materials Database. Energies are from GGA-PBE.

Computed properties:
crystal system = tetragonal
magnetic moment = 0.0 Bohr magnetons per cell
energy above the lowest structure with this stoichiometry = 0.154 eV per atom

a = 4.259 Å, b = 4.259 Å, c = 8.977 Å
α = 90.00°, β = 90.00°, γ = 90.00°
Space group P4/nmm (No. 129, origin choice 2)
Inequivalent atoms, fractional coordinates:
Pm1 0.250 0.750 0.000 (multiplicity 2)
Lu1 0.250 0.250 0.409 (multiplicity 2)
As1 0.250 0.250 0.778 (multiplicity 2)
O1 0.250 0.750 0.500 (multiplicity 2)

***

Here is a relaxed SmAlB crystal from the Open Quantum Materials Database. Energies are from GGA-PBE.

Computed properties:
crystal system = cubic
magnetic moment = 0.0 Bohr magnetons per cell
energy above the lowest structure with this stoichiometry = 0.748 eV per atom

a = 6.111 Å, b = 6.111 Å, c = 6.111 Å
α = 90.00°, β = 90.00°, γ = 90.00°
Space group F-43m (No. 216)
Inequivalent atoms, fractional coordinates:
Sm1 0.000 0.000 0.000 (multiplicity 4)
Al1 0.250 0.250 0.750 (multiplicity 4)
B1 0.000 0.000 0.500 (multiplicity 4)

***

Here is a relaxed MgAgTeO crystal from the Open Quantum Materials Database. Energies are from GGA-PBE.

Computed properties:
crystal system = tetragonal
energy above the lowest structure with this stoichiometry = 0.906 eV per atom

a = 4.437 Å, b = 4.437 Å, c = 9.800 Å
α = 90.00°, β = 90.00°, γ = 90.00°
Space group P4/nmm (No. 129, origin choice 2)
Inequivalent atoms, fractional coordinates:
Mg1 0.250 0.250 0.204 (multiplicity 2)
Ag1 0.250 0.250 0.606 (multiplicity 2)
Te1 0.250 0.750 0.000 (multiplicity 2)
O1 0.250 0.250 0.387 (multiplicity 2)

***

Here is a relaxed KSmFeS3 crystal from the Open Quantum Materials Database. Energies are from GGA-PBE.

Computed properties:
crystal system = orthorhombic
magnetic moment = 16.0 Bohr magnetons per cell
energy above the lowest structure with this stoichiometry = 0.013 eV per atom

a = 4.032 Å, b = 14.143 Å, c = 10.675 Å
α = 90.00°, β = 90.00°, γ = 90.00°
Space group Cmcm (No. 63)
Inequivalent atoms, fractional coordinates:
K1 0.000 0.244 0.250 (multiplicity 4)
Sm1 0.000 0.500 0.000 (multiplicity 4)
Fe1 0.000 0.029 0.750 (multiplicity 4)
S1 0.000 0.124 0.576 (multiplicity 8)
S2 0.000 0.437 0.750 (multiplicity 4)

***

Here is a relaxed MgAlFePt crystal from the Open Quantum Materials Database. Energies are from GGA-PBE.

Computed properties:
crystal system = cubic
magnetic moment = 2.0 Bohr magnetons per cell
energy above the lowest structure with this stoichiometry = 0.000 eV per atom

a = 6.049 Å, b = 6.049 Å, c = 6.049 Å
α = 90.00°, β = 90.00°, γ = 90.00°
Space group F-43m (No. 216)
Inequivalent atoms, fractional coordinates:
Mg1 0.000 0.000 0.000 (multiplicity 4)
Al1 0.000 0.000 0.500 (multiplicity 4)
Fe1 0.250 0.250 0.750 (multiplicity 4)
Pt1 0.250 0.250 0.250 (multiplicity 4)

***

Here is a relaxed MgCdSeO crystal from the Open Quantum Materials Database. Energies are from GGA-PBE.

Computed properties:
crystal system = hexagonal
energy above the lowest structure with this stoichiometry = 0.301 eV per atom

a = 3.8265 Å, b = 3.8265 Å, c = 11.8307 Å
α = 90.00°, β = 90.00°, γ = 120.00°
Space group P6_3mc (No. 186)
Inequivalent atoms, fractional coordinates:
Mg1 0.0000 0.0000 0.0000 (multiplicity 2)
Cd1 0.3333 0.6667 0.2756 (multiplicity 2)
Se1 0.3333 0.6667 0.6053 (multiplicity 2)
O1 0.0000 0.0000 0.3385 (multiplicity 2)

***

Here is a relaxed TaBi2Au2 crystal from the Open Quantum Materials Database. Energies are from GGA-PBE.

Computed properties:
crystal system = tetragonal
magnetic moment = 5.1 Bohr magnetons per cell
energy above the lowest structure with this stoichiometry = 0.096 eV per atom

a = 4.429 Å, b = 4.429 Å, c = 12.923 Å
α = 90.00°, β = 90.00°, γ = 90.00°
Space group I4/mmm (No. 139)
Inequivalent atoms, fractional coordinates:
Ta1 0.000 0.000 0.000 (multiplicity 2)
Bi1 0.000 0.500 0.250 (multiplicity 4)
Au1 0.000 0.000 0.401 (multiplicity 4)

***

Here is a relaxed YThSn crystal from the Open Quantum Materials Database. Energies are from GGA-PBE.

Computed properties:
crystal system = cubic
magnetic moment = 0.2 Bohr magnetons per cell
uncorrected energy = -6.170 eV per atom

a = 7.356 Å, b = 7.356 Å, c = 7.356 Å
α = 90.00°, β = 90.00°, γ = 90.00°
Space group F-43m (No. 216)
Inequivalent atoms, fractional coordinates:
Y1 0.000 0.000 0.000 (multiplicity 4)
Th1 0.000 0.000 0.500 (multiplicity 4)
Sn1 0.250 0.250 0.750 (multiplicity 4)

***

Here is a relaxed PaAgBi crystal from the Open Quantum Materials Database. Energies are from GGA-PBE.

Computed properties:
crystal system = cubic
magnetic moment = 4.0 Bohr magnetons per cell
energy above the lowest structure with this stoichiometry = 0.079 eV per atom

a = 7.184 Å, b = 7.184 Å, c = 7.184 Å
α = 90.00°, β = 90.00°, γ = 90.00°
Space group F-43m (No. 216)
Inequivalent atoms, fractional coordinates:
Pa1 0.000 0.000 0.000 (multiplicity 4)
Ag1 0.250 0.250 0.750 (multiplicity 4)
Bi1 0.250 0.250 0.250 (multiplicity 4)

***

Here is a relaxed NaNbO3 crystal from the Open Quantum Materials Database. Energies are from GGA-PBE.

Computed properties:
crystal system = orthorhombic
magnetic moment = 0.0 Bohr magnetons per cell
uncorrected energy = -7.658 eV per atom

a = 7.793 Å, b = 7.836 Å, c = 7.833 Å
α = 90.00°, β = 90.00°, γ = 90.00°
Space group Pmmn (No. 59, origin choice 2)
Inequivalent atoms, fractional coordinates:
Na1 0.250 0.250 0.233 (multiplicity 2)
Na2 0.250 0.250 0.737 (multiplicity 2)
Na3 0.250 0.750 0.253 (multiplicity 2)
Na4 0.250 0.750 0.750 (multiplicity 2)
Nb1 0.000 0.000 0.000 (multiplicity 4)
Nb2 0.000 0.000 0.500 (multiplicity 4)
O1 0.039 0.750 0.465 (multiplicity 4)
O2 0.042 0.529 0.750 (multiplicity 8)
O3 0.046 0.250 0.978 (multiplicity 4)
O4 0.250 0.045 0.464 (multiplicity 4)
O5 0.250 0.539 0.045 (multiplicity 4)

***

Here is a relaxed SrSmPO crystal from the Open Quantum Materials Database. Energies are from GGA-PBE.

Computed properties:
crystal system = tetragonal
magnetic moment = 0.0 Bohr magnetons per cell
energy above the lowest structure with this stoichiometry = 0.305 eV per atom

a = 4.402 Å, b = 4.402 Å, c = 9.219 Å
α = 90.00°, β = 90.00°, γ = 90.00°
Space group P4/nmm (No. 129, origin choice 2)
Inequivalent atoms, fractional coordinates:
Sr1 0.250 0.750 0.000 (multiplicity 2)
Sm1 0.250 0.250 0.402 (multiplicity 2)
P1 0.250 0.250 0.790 (multiplicity 2)
O1 0.250 0.750 0.500 (multiplicity 2)

***

Here is a relaxed HoBeHg crystal from the Open Quantum Materials Database. Energies are from GGA-PBE.

Computed properties:
crystal system = cubic
magnetic moment = 0.5 Bohr magnetons per cell
uncorrected energy = -2.679 eV per atom

a = 6.549 Å, b = 6.549 Å, c = 6.549 Å
α = 90.00°, β = 90.00°, γ = 90.00°
Space group F-43m (No. 216)
Inequivalent atoms, fractional coordinates:
Ho1 0.000 0.000 0.000 (multiplicity 4)
Be1 0.000 0.000 0.500 (multiplicity 4)
Hg1 0.250 0.250 0.750 (multiplicity 4)

***

Here is a relaxed Nd2GdCu4Sn2Ge2 crystal from the Open Quantum Materials Database. Energies are from GGA-PBE.

Computed properties:
crystal system = orthorhombic
magnetic moment = 0.0 Bohr magnetons per cell
energy above the lowest structure with this stoichiometry = 0.075 eV per atom

a = 4.410 Å, b = 6.943 Å, c = 14.640 Å
α = 90.00°, β = 90.00°, γ = 90.00°
Space group Immm (No. 71)
Inequivalent atoms, fractional coordinates:
Nd1 0.000 0.000 0.137 (multiplicity 4)
Gd1 0.000 0.500 0.000 (multiplicity 2)
Cu1 0.000 0.184 0.326 (multiplicity 8)
Sn1 0.000 0.297 0.500 (multiplicity 4)
Ge1 0.000 0.500 0.214 (multiplicity 4)

***

Here is a relaxed YZn2Cu crystal from the Open Quantum Materials Database. Energies are from GGA-PBE.

Computed properties:
crystal system = cubic
magnetic moment = 0.0 Bohr magnetons per cell
ΔH_f (0 K) = -0.223 eV/atom

a = 6.523 Å, b = 6.523 Å, c = 6.523 Å
α = 90.00°, β = 90.00°, γ = 90.00°
Space group Fm-3m (No. 225)
Inequivalent atoms, fractional coordinates:
Y1 0.000 0.000 0.000 (multiplicity 4)
Zn1 0.250 0.250 0.250 (multiplicity 8)
Cu1 0.000 0.000 0.500 (multiplicity 4)

***

Here is a relaxed GdTlTe3Au crystal from the Open Quantum Materials Database. Energies are from GGA-PBE.

Computed properties:
crystal system = orthorhombic
magnetic moment = 0.0 Bohr magnetons per cell
uncorrected energy = -3.984 eV per atom

a = 4.206 Å, b = 15.791 Å, c = 11.265 Å
α = 90.00°, β = 90.00°, γ = 90.00°
Space group Cmcm (No. 63)
Inequivalent atoms, fractional coordinates:
Gd1 0.000 0.000 0.000 (multiplicity 4)
Tl1 0.000 0.237 0.250 (multiplicity 4)
Te1 0.000 0.084 0.750 (multiplicity 4)
Te2 0.000 0.360 0.555 (multiplicity 8)
Au1 0.000 0.468 0.750 (multiplicity 4)

***

Here is a relaxed NaUNi crystal from the Open Quantum Materials Database. Energies are from GGA-PBE.

Computed properties:
crystal system = cubic
magnetic moment = 13.6 Bohr magnetons per cell
energy above the lowest structure with this stoichiometry = 0.111 eV per atom

a = 6.432 Å, b = 6.432 Å, c = 6.432 Å
α = 90.00°, β = 90.00°, γ = 90.00°
Space group F-43m (No. 216)
Inequivalent atoms, fractional coordinates:
Na1 0.000 0.000 0.000 (multiplicity 4)
U1 0.250 0.250 0.250 (multiplicity 4)
Ni1 0.250 0.250 0.750 (multiplicity 4)

***

Here is a relaxed TmAlGaSe3 crystal from the Open Quantum Materials Database. Energies are from GGA-PBE.

Computed properties:
crystal system = orthorhombic
magnetic moment = 0.0 Bohr magnetons per cell
uncorrected energy = -4.511 eV per atom

a = 4.031 Å, b = 13.732 Å, c = 10.795 Å
α = 90.00°, β = 90.00°, γ = 90.00°
Space group Cmcm (No. 63)
Inequivalent atoms, fractional coordinates:
Tm1 0.000 0.000 0.000 (multiplicity 4)
Al1 0.000 0.457 0.250 (multiplicity 4)
Ga1 0.000 0.231 0.750 (multiplicity 4)
Se1 0.000 0.073 0.250 (multiplicity 4)
Se2 0.000 0.362 0.060 (multiplicity 8)

***

Here is a relaxed PmNdSb2Pt2 crystal from the Open Quantum Materials Database. Energies are from GGA-PBE.

Computed properties:
crystal system = monoclinic
magnetic moment = 0.0 Bohr magnetons per cell
uncorrected energy = -6.151 eV per atom

a = 9.526 Å, b = 4.762 Å, c = 14.287 Å
α = 90.00°, β = 109.47°, γ = 90.00°
Space group Pm (No. 6)
Inequivalent atoms, fractional coordinates:
Pm1 0.000 0.000 0.000 (multiplicity 1)
Pm2 0.125 0.500 0.750 (multiplicity 1)
Pm3 0.250 0.000 0.500 (multiplicity 1)
Pm4 0.500 0.000 0.000 (multiplicity 1)
Nd1 0.375 0.500 0.250 (multiplicity 1)
Nd2 0.625 0.500 0.750 (multiplicity 1)
Nd3 0.750 0.000 0.500 (multiplicity 1)
Nd4 0.875 0.500 0.250 (multiplicity 1)
Sb1 0.001 0.500 0.501 (multiplicity 1)
Sb2 0.125 0.000 0.250 (multiplicity 1)
Sb3 0.250 0.500 0.999 (multiplicity 1)
Sb4 0.374 0.000 0.750 (multiplicity 1)
Sb5 0.499 0.500 0.500 (multiplicity 1)
Sb6 0.625 0.000 0.250 (multiplicity 1)
Sb7 0.750 0.500 0.000 (multiplicity 1)
Sb8 0.876 0.000 0.751 (multiplicity 1)
Pt1 0.062 0.500 0.124 (multiplicity 1)
Pt2 0.187 0.000 0.875 (multiplicity 1)
Pt3 0.311 0.500 0.625 (multiplicity 1)
Pt4 0.436 0.000 0.376 (multiplicity 1)
Pt5 0.562 0.500 0.124 (multiplicity 1)
Pt6 0.688 0.000 0.876 (multiplicity 1)
Pt7 0.814 0.500 0.626 (multiplicity 1)
Pt8 0.939 0.000 0.376 (multiplicity 1)

***

Here is a relaxed Hf2BiAu crystal from the Open Quantum Materials Database. Energies are from GGA-PBE.

Computed properties:
crystal system = cubic
magnetic moment = 7.7 Bohr magnetons per cell
uncorrected energy = -6.500 eV per atom

a = 7.160 Å, b = 7.160 Å, c = 7.160 Å
α = 90.00°, β = 90.00°, γ = 90.00°
Space group F-43m (No. 216)
Inequivalent atoms, fractional coordinates:
Hf1 0.000 0.000 0.000 (multiplicity 4)
Hf2 0.250 0.250 0.250 (multiplicity 4)
Bi1 0.000 0.000 0.500 (multiplicity 4)
Au1 0.250 0.250 0.750 (multiplicity 4)

***

Here is a relaxed Na2GaIrO6 crystal from the Open Quantum Materials Database. Energies are from GGA-PBE.

Computed properties:
crystal system = cubic
magnetic moment = 0.2 Bohr magnetons per cell
uncorrected energy = -5.555 eV per atom

a = 7.647 Å, b = 7.647 Å, c = 7.647 Å
α = 90.00°, β = 90.00°, γ = 90.00°
Space group Fm-3m (No. 225)
Inequivalent atoms, fractional coordinates:
Na1 0.250 0.250 0.250 (multiplicity 8)
Ga1 0.000 0.000 0.000 (multiplicity 4)
Ir1 0.000 0.000 0.500 (multiplicity 4)
O1 0.000 0.000 0.252 (multiplicity 24)

***

Here is a relaxed KErCdTe3 crystal from the Open Quantum Materials Database. Energies are from GGA-PBE.

Computed properties:
crystal system = orthorhombic
magnetic moment = 0.0 Bohr magnetons per cell
energy above the lowest structure with this stoichiometry = 0.005 eV per atom

a = 15.904 Å, b = 4.471 Å, c = 11.924 Å
α = 90.00°, β = 90.00°, γ = 90.00°
Space group Pnma (No. 62)
Inequivalent atoms, fractional coordinates:
K1 0.234 0.250 0.051 (multiplicity 4)
Er1 0.022 0.250 0.349 (multiplicity 4)
Cd1 0.017 0.750 0.099 (multiplicity 4)
Te1 0.096 0.750 0.874 (multiplicity 4)
Te2 0.098 0.250 0.579 (multiplicity 4)
Te3 0.143 0.750 0.264 (multiplicity 4)

***

Here is a relaxed Cs2NdScS4 crystal from the Open Quantum Materials Database. Energies are from GGA-PBE.

Computed properties:
crystal system = trigonal
magnetic moment = 0.0 Bohr magnetons per cell
uncorrected energy = -5.382 eV per atom

a = 4.0747 Å, b = 4.0747 Å, c = 15.9976 Å
α = 90.00°, β = 90.00°, γ = 120.00°
Space group P-3m1 (No. 164)
Inequivalent atoms, fractional coordinates:
Cs1 0.3333 0.6667 0.2578 (multiplicity 2)
Nd1 0.0000 0.0000 0.0000 (multiplicity 1)
Sc1 0.0000 0.0000 0.5000 (multiplicity 1)
S1 0.3333 0.6667 0.5821 (multiplicity 2)
S2 0.3333 0.6667 0.9011 (multiplicity 2)

***

Here is a relaxed Pr3BiN2 crystal from the Open Quantum Materials Database. Energies are from GGA-PBE.

Computed properties:
crystal system = trigonal
magnetic moment = 0.0 Bohr magnetons per cell
uncorrected energy = -6.959 eV per atom

a = 3.7125 Å, b = 3.7125 Å, c = 11.1144 Å
α = 90.00°, β = 90.00°, γ = 120.00°
Space group P-3m1 (No. 164)
Inequivalent atoms, fractional coordinates:
Pr1 0.0000 0.0000 0.0000 (multiplicity 1)
Pr2 0.3333 0.6667 0.2576 (multiplicity 2)
Bi1 0.0000 0.0000 0.5000 (multiplicity 1)
N1 0.3333 0.6667 0.8568 (multiplicity 2)